The following is a PBE calculation of an optimized crystal structure of SiTc2B, from Alexandria.

Computed properties:
E_form (uncorrected)	0.015	eV/atom
final energy	-8.1932	eV/atom
total moment	0.000	Bohr magnetons per cell

Cell: 4.0605 4.0605 4.0605 Å, 60.00 60.00 60.00°
Fractional coordinates of all 4 atoms:
Si (0.5000, 0.5000, 0.5000)
B (0.0000, 0.0000, 0.0000)
Tc (0.2500, 0.2500, 0.2500)
Tc (0.7500, 0.7500, 0.7500)